DFT (PBE-GGA) results for a relaxed Er3Cd3In2 crystal.

Values from the calculation:
DOS(E_F) = 4.732 states/eV/f.u.
DFT total energy = -3.04 eV per atom
Crystal system = orthorhombic

CIF file:
```
data_Er3Cd3In2
_chemical_formula_sum 'Er6 Cd6 In4'
_symmetry_space_group_name_H-M 'P 1'
_symmetry_Int_Tables_number 1
_cell_length_a 6.113
_cell_length_b 6.113
_cell_length_c 15.384
_cell_angle_alpha 90.00
_cell_angle_beta 90.00
_cell_angle_gamma 134.59
loop_
_symmetry_equiv_pos_as_xyz
'x,y,z'
loop_
_atom_site_label
_atom_site_type_symbol
_atom_site_fract_x
_atom_site_fract_y
_atom_site_fract_z
Er1 Er 0.081 0.919 0.613
Er2 Er 0.081 0.919 0.887
Er3 Er 0.347 0.653 0.750
Er4 Er 0.653 0.347 0.250
Er5 Er 0.919 0.081 0.113
Er6 Er 0.919 0.081 0.387
Cd1 Cd 0.379 0.621 0.250
Cd2 Cd 0.385 0.615 0.535
Cd3 Cd 0.385 0.615 0.965
Cd4 Cd 0.615 0.385 0.035
Cd5 Cd 0.615 0.385 0.465
Cd6 Cd 0.621 0.379 0.750
In1 In 0.207 0.793 0.111
In2 In 0.207 0.793 0.389
In3 In 0.793 0.207 0.611
In4 In 0.793 0.207 0.889
```